LiMgGe: relaxed, PBE.

Lattice parameters (Å, degrees): 4.468 4.468 4.468 60.00 60.00 60.00
Fractional positions:
Mg 0.000 0.000 0.000
Li 0.500 0.500 0.500
Ge 0.250 0.250 0.250

Properties
- total moment (μB per atom) = 0.000
- formation energy from the elements (eV/f.u.) = -0.5
- density of states at the Fermi level (states/eV/atom) = 0.7555
- V (Å³/atom) = 21.03